No. 1
Rb2MnCl5 | PBE-GGA | relaxed

Results
Its raw formation energy is -1.52 eV per atom. The density comes out at 2.58 Mg/m³. As for the total magnetic moment: 4.0 μB/f.u. The value obtained for the volume is 32.488 A^3/atom.

Cell: 7.3614 7.3614 9.5925 Å, 90.00 90.00 90.00°
Space group I4mm (No. 107)
Asymmetric unit:
1 Rb 0.0000 0.5000 0.0000 [4 per cell]
2 Mn 0.0000 0.0000 0.2193 [2 per cell]
3 Cl 0.0000 0.0000 0.9751 [2 per cell]
4 Cl 0.2180 0.2180 0.2577 [8 per cell]


No. 2
Rb6MnCl8 | PBE-GGA | relaxed

Results
Its raw formation energy is -1.75 eV per atom. The density comes out at 2.79 Mg/m³. As for the total magnetic moment: 5.0 μB/f.u. The value obtained for the volume is 33.773 A^3/atom.

Cell: 9.6410 9.6410 18.8800 Å, 90.00 90.00 120.00°
Space group R-3 (No. 148, hexagonal axes)
Asymmetric unit:
1 Rb 0.0225 0.6207 0.4187 [18 per cell]
2 Mn 0.0000 0.0000 0.5000 [3 per cell]
3 Cl 0.0000 0.0000 0.1543 [6 per cell]
4 Cl 0.0111 0.7847 0.5790 [18 per cell]